# 1
# Mg2TaNbHg (PBE, relaxed)
# Formation energy   1.283 eV/atom
# Calculated density   7.249 g/cm³
# DFT total energy   -3.799 eV per atom
data_Mg2TaNbHg
_chemical_formula_sum 'Mg2 Ta1 Nb1 Hg1'
_cell_length_a 4.7559
_cell_length_b 4.7559
_cell_length_c 5.2969
_cell_angle_alpha 90.00
_cell_angle_beta 90.00
_cell_angle_gamma 90.00
_space_group_name_H-M_alt 'P 4/m m m'
_space_group_IT_number 123
_space_group_name_Hall '-P 4 2'
loop_
_atom_site_label
_atom_site_type_symbol
_atom_site_fract_x
_atom_site_fract_y
_atom_site_fract_z
Mg1 Mg 0.0000 0.5000 0.0000
Ta1 Ta 0.0000 0.0000 0.5000
Nb1 Nb 0.5000 0.5000 0.5000
Hg1 Hg 0.5000 0.5000 0.0000

***

# 2
# Mg2NbTcHg (PBE, relaxed)
# Formation energy   1.352 eV/atom
# Calculated density   5.866 g/cm³
# DFT total energy   -3.434 eV per atom
data_Mg2NbTcHg
_chemical_formula_sum 'Mg2 Nb1 Tc1 Hg1'
_cell_length_a 4.8530
_cell_length_b 4.8530
_cell_length_c 5.2900
_cell_angle_alpha 90.00
_cell_angle_beta 90.00
_cell_angle_gamma 90.00
_space_group_name_H-M_alt 'P 4/m m m'
_space_group_IT_number 123
_space_group_name_Hall '-P 4 2'
loop_
_atom_site_label
_atom_site_type_symbol
_atom_site_fract_x
_atom_site_fract_y
_atom_site_fract_z
Mg1 Mg 0.0000 0.5000 0.0000
Nb1 Nb 0.0000 0.0000 0.5000
Tc1 Tc 0.5000 0.5000 0.5000
Hg1 Hg 0.0000 0.0000 0.0000

***

# 3
# MgZrNbHg2 (PBE, relaxed)
# Formation energy   0.770 eV/atom
# Calculated density   7.004 g/cm³
# DFT total energy   -3.393 eV per atom
data_MgZrNbHg2
_chemical_formula_sum 'Mg1 Zr1 Nb1 Hg2'
_cell_length_a 5.4434
_cell_length_b 5.4434
_cell_length_c 4.8777
_cell_angle_alpha 90.00
_cell_angle_beta 90.00
_cell_angle_gamma 90.00
_space_group_name_H-M_alt 'P 4/m m m'
_space_group_IT_number 123
_space_group_name_Hall '-P 4 2'
loop_
_atom_site_label
_atom_site_type_symbol
_atom_site_fract_x
_atom_site_fract_y
_atom_site_fract_z
Mg1 Mg 0.0000 0.0000 0.0000
Zr1 Zr 0.5000 0.5000 0.0000
Nb1 Nb 0.5000 0.5000 0.5000
Hg1 Hg 0.0000 0.5000 0.5000

***

# 4
# Nd6Mg2Hg (PBE, relaxed)
# Formation energy   -0.007 eV/atom
# ΔE to the lowest computed polymorph   72 meV per atom
# Calculated density   6.337 g/cm³
# DFT total energy   -3.573 eV per atom
data_Nd6Mg2Hg
_chemical_formula_sum 'Nd12 Mg4 Hg2'
_cell_length_a 6.5175
_cell_length_b 9.7247
_cell_length_c 10.3042
_cell_angle_alpha 90.00
_cell_angle_beta 116.56
_cell_angle_gamma 90.00
_space_group_name_H-M_alt 'P 1 21/c 1'
_space_group_IT_number 14
_space_group_name_Hall '-P 2ybc'
loop_
_atom_site_label
_atom_site_type_symbol
_atom_site_fract_x
_atom_site_fract_y
_atom_site_fract_z
Nd1 Nd 0.0733 0.0411 0.1978
Nd2 Nd 0.1493 0.6975 0.0649
Nd3 Nd 0.4236 0.1687 0.0277
Mg1 Mg 0.3590 0.0954 0.7179
Hg1 Hg 0.5000 0.0000 0.5000

***

Q: What is the formation energy in the fourth record?
A: -0.007 eV/atom